# 1
A plane-wave DFT calculation with PBE was carried out for crystalline Nd3PuTh2P6 at its relaxed geometry.

Cell lengths 4.1411, 8.2653, 9.2541 Å; angles 103.01, 102.93, 90.00 degrees
Closest atoms and distances in Å follow each position.
Element x y z (fractional)
1 Th 0.1649 0.3301 0.3297  6 P 2.88-2.93
2 Th 0.8351 0.6699 0.6703  6 P 2.88-2.93
3 P 0.3318 0.4195 0.6637  3 Th 2.92-2.93, 3 Nd 2.95
4 P 0.0005 0.2415 0.0011  2 Pu 2.87, 1 Th 2.88, 3 Nd 2.93-2.98
5 P 0.9995 0.7585 0.9989  2 Pu 2.87, 1 Th 2.88, 3 Nd 2.93-2.98
6 P 0.6682 0.5805 0.3363  3 Th 2.92-2.93, 3 Nd 2.95
7 P 0.6644 0.0844 0.3288  1 Pu 2.88, 2 Th 2.90, 3 Nd 2.94-2.97
8 P 0.3356 0.9156 0.6712  1 Pu 2.88, 2 Th 2.90, 3 Nd 2.94-2.97
9 Nd 0.1665 0.8338 0.3331  6 P 2.93-2.97
10 Nd 0.8335 0.1662 0.6669  6 P 2.93-2.97
11 Nd 0.5000 0.5000 0.0000  6 P 2.95-2.98
12 Pu 0.5000 0.0000 0.0000  6 P 2.87-2.88

The total moment is 5.370 μB/f.u. The density of states at the Fermi level comes out at 14.5 states/eV per cell. The symmetry is No. 12. Its formation energy is -1.497 eV per atom.

# 2
A plane-wave DFT calculation with PBE was carried out for crystalline NdPuTh2P4 at its relaxed geometry.

Cell lengths 4.1358, 7.1480, 7.1193 Å; angles 109.66, 90.00, 90.00 degrees
Closest atoms and distances in Å follow each position.
Element x y z (fractional)
1 P 0.0000 0.2459 0.7491  1 Pu 2.90, 3 Th 2.90-2.93, 2 Nd 2.93
2 P 0.5000 0.2442 0.2462  2 Pu 2.89, 3 Th 2.90-2.94, 1 Nd 2.93
3 P 0.0000 0.7541 0.2509  1 Pu 2.90, 3 Th 2.90-2.93, 2 Nd 2.93
4 P 0.5000 0.7558 0.7538  2 Pu 2.89, 3 Th 2.90-2.94, 1 Nd 2.93
5 Pu 0.0000 0.0000 0.0000  6 P 2.89-2.90
6 Th 0.5000 0.0000 0.5000  6 P 2.90
7 Th 0.0000 0.5000 0.5000  6 P 2.93-2.94
8 Nd 0.5000 0.5000 0.0000  6 P 2.93

The total moment is 5.571 μB/f.u. The density of states at the Fermi level comes out at 12.5 states/eV per cell. The symmetry is No. 10. Its formation energy is -1.467 eV per atom.

# 3
A plane-wave DFT calculation with PBE was carried out for crystalline NdTm2PuP4 at its relaxed geometry.

Cell lengths 4.0231, 6.9541, 6.9345 Å; angles 109.53, 90.00, 90.00 degrees
Closest atoms and distances in Å follow each position.
Element x y z (fractional)
1 P 0.5000 0.2449 0.2541  3 Tm 2.78-2.84, 2 Pu 2.84, 1 Nd 2.89
2 P 0.0000 0.2406 0.7410  3 Tm 2.79-2.84, 1 Pu 2.83, 2 Nd 2.89
3 P 0.5000 0.7551 0.7459  3 Tm 2.78-2.84, 2 Pu 2.84, 1 Nd 2.89
4 P 0.0000 0.7594 0.2590  3 Tm 2.79-2.84, 1 Pu 2.83, 2 Nd 2.89
5 Nd 0.5000 0.5000 0.0000  6 P 2.89
6 Tm 0.0000 0.5000 0.5000  6 P 2.84
7 Tm 0.5000 0.0000 0.5000  6 P 2.78-2.79
8 Pu 0.0000 0.0000 0.0000  6 P 2.83-2.84

The total moment is 4.887 μB/f.u. The density of states at the Fermi level comes out at 11.9 states/eV per cell. The symmetry is No. 10. Its formation energy is -1.453 eV per atom.

# 4
A plane-wave DFT calculation with PBE was carried out for crystalline Nd2PuUP4 at its relaxed geometry.

Cell lengths 4.0433, 7.0327, 7.0375 Å; angles 109.35, 90.00, 90.00 degrees
Closest atoms and distances in Å follow each position.
Element x y z (fractional)
1 Nd 0.5000 0.0000 0.5000  6 P 2.95-2.97
2 Nd 0.0000 0.5000 0.5000  6 P 2.91-2.93
3 P 0.0000 0.2603 0.7675  2 U 2.79, 1 Pu 2.83, 3 Nd 2.91-2.95
4 P 0.5000 0.7513 0.7682  1 U 2.77, 2 Pu 2.81, 3 Nd 2.93-2.97
5 P 0.5000 0.2487 0.2318  1 U 2.77, 2 Pu 2.81, 3 Nd 2.93-2.97
6 P 0.0000 0.7397 0.2325  2 U 2.79, 1 Pu 2.83, 3 Nd 2.91-2.95
7 Pu 0.0000 0.0000 0.0000  6 P 2.81-2.83
8 U 0.5000 0.5000 0.0000  6 P 2.77-2.79

The total moment is 3.403 μB/f.u. The density of states at the Fermi level comes out at 18.4 states/eV per cell. The symmetry is No. 10. Its formation energy is -1.285 eV per atom.

# 5
A plane-wave DFT calculation with PBE was carried out for crystalline NdPu2U3P6 at its relaxed geometry.

Cell lengths 6.8613, 6.8613, 6.9883 Å; angles 99.43, 99.43, 119.99 degrees
Closest atoms and distances in Å follow each position.
Element x y z (fractional)
1 U 0.5000 0.5000 0.5000  6 P 2.75-2.80
2 U 0.1646 0.8354 0.5000  6 P 2.76-2.80
3 U 0.8354 0.1646 0.5000  6 P 2.76-2.80
4 P 0.5732 0.9130 0.7396  3 U 2.76-2.80, 2 Pu 2.84, 1 Nd 2.90
5 P 0.2542 0.2542 0.7421  3 U 2.75-2.79, 2 Pu 2.84, 1 Nd 2.89
6 P 0.9130 0.5732 0.7396  3 U 2.76-2.80, 2 Pu 2.84, 1 Nd 2.90
7 P 0.7458 0.7458 0.2579  3 U 2.75-2.79, 2 Pu 2.84, 1 Nd 2.89
8 P 0.4268 0.0870 0.2604  3 U 2.76-2.80, 2 Pu 2.84, 1 Nd 2.90
9 P 0.0870 0.4268 0.2604  3 U 2.76-2.80, 2 Pu 2.84, 1 Nd 2.90
10 Pu 0.6671 0.3329 0.0000  6 P 2.84
11 Pu 0.3329 0.6671 0.0000  6 P 2.84
12 Nd 0.0000 0.0000 0.0000  6 P 2.89-2.90

The total moment is 4.942 μB/f.u. The density of states at the Fermi level comes out at 36.7 states/eV per cell. The symmetry is No. 12. Its formation energy is -1.109 eV per atom.

# 6
A plane-wave DFT calculation with PBE was carried out for crystalline NdY2PuP4 at its relaxed geometry.

Cell lengths 4.0555, 7.0080, 6.9953 Å; angles 109.51, 90.00, 90.00 degrees
Closest atoms and distances in Å follow each position.
Element x y z (fractional)
1 Pu 0.0000 0.0000 0.0000  6 P 2.84
2 Nd 0.5000 0.5000 0.0000  6 P 2.89-2.90
3 P 0.0000 0.2419 0.7457  3 Y 2.83-2.88, 1 Pu 2.84, 2 Nd 2.90
4 P 0.5000 0.7570 0.7508  3 Y 2.82-2.88, 2 Pu 2.84, 1 Nd 2.89
5 P 0.5000 0.2430 0.2492  3 Y 2.82-2.88, 2 Pu 2.84, 1 Nd 2.89
6 P 0.0000 0.7581 0.2543  3 Y 2.83-2.88, 1 Pu 2.84, 2 Nd 2.90
7 Y 0.5000 0.0000 0.5000  6 P 2.82-2.83
8 Y 0.0000 0.5000 0.5000  6 P 2.88

The total moment is 4.884 μB/f.u. The density of states at the Fermi level comes out at 12.2 states/eV per cell. The symmetry is No. 10. Its formation energy is -1.470 eV per atom.